{"formula": "GaW2N", "functional": "PBE-GGA", "state": "relaxed", "lattice": [[4.944, 0.000, 0.000], [0.000, 4.944, 0.000], [2.472, 2.472, 5.664]], "species": ["Ga", "Ga", "W", "W", "W", "W", "N", "N"], "fractional_positions": [[0.000, 0.000, 0.000], [0.750, 0.250, 0.500], [0.503, 0.125, 0.250], [0.247, 0.625, 0.250], [0.375, 0.497, 0.750], [0.875, 0.753, 0.750], [0.500, 0.500, 0.000], [0.250, 0.750, 0.500]], "spacegroup": "I-42d (122)", "total_energy_ev_per_atom": -8.594, "dos_ef_per_ev_atom": 1.103}

***

{"formula": "Y2RePb", "functional": "PBE-GGA", "state": "relaxed", "lattice": [[-0.655, -0.420, -3.427], [2.850, -2.034, -0.296], [-4.584, -6.667, 1.694]], "species": ["Pb", "Re", "Y", "Y"], "fractional_positions": [[0.000, 0.000, 0.547], [0.500, 0.500, 0.726], [0.000, 0.000, 0.935], [0.500, 0.500, 0.292]], "spacegroup": "P4mm (99)", "ef_mev_per_atom": 278, "dos_ef_per_ev_atom": 1.638}